No. 1
{"formula": "YHoAu5", "functional": "PBE", "state": "optimized geometry", "spacegroup": "C2/c, No. 15", "formation_enthalpy_0k_ev_per_atom": -0.67, "total_magnetization_mub_per_cell": 0.0, "lattice_angstrom": [[3.372, -4.076, 0.000], [3.372, 4.076, 0.000], [-3.289, 0.000, 10.766]], "species": ["Y", "Y", "Ho", "Ho", "Au", "Au", "Au", "Au", "Au", "Au", "Au", "Au", "Au", "Au"], "fractional_positions": [[0.000, 0.500, 0.000], [0.500, 0.000, 0.500], [0.185, 0.815, 0.750], [0.815, 0.185, 0.250], [0.064, 0.281, 0.542], [0.180, 0.820, 0.250], [0.281, 0.064, 0.042], [0.394, 0.403, 0.352], [0.403, 0.394, 0.852], [0.597, 0.606, 0.148], [0.606, 0.597, 0.648], [0.719, 0.936, 0.958], [0.820, 0.180, 0.750], [0.936, 0.719, 0.458]]}


No. 2
{"formula": "AcPm2DyAs4", "functional": "PBE", "state": "optimized geometry", "spacegroup": "P2/m, No. 10", "formation_enthalpy_0k_ev_per_atom": -1.48, "total_magnetization_mub_per_cell": 0.0, "lattice_angstrom": [[7.434, 0.000, 0.000], [0.000, 4.295, 0.000], [-2.467, 0.000, 7.015]], "species": ["Ac", "Pm", "Pm", "Dy", "As", "As", "As", "As"], "fractional_positions": [[0.000, 0.000, 0.000], [0.000, 0.500, 0.500], [0.500, 0.000, 0.500], [0.500, 0.500, 0.000], [0.260, 0.000, 0.750], [0.263, 0.500, 0.258], [0.737, 0.500, 0.742], [0.740, 0.000, 0.250]]}


No. 3
{"formula": "HoPuPb", "functional": "PBE", "state": "optimized geometry", "spacegroup": "P6_3/mmc, No. 194", "formation_enthalpy_0k_ev_per_atom": -0.29, "total_magnetization_mub_per_cell": 13.5, "de_polymorph_mev_per_atom": 0, "lattice_angstrom": [[5.522, 0.000, 0.000], [-2.761, 4.782, 0.000], [0.000, 0.000, 6.335]], "species": ["Ho", "Ho", "Pu", "Pu", "Pb", "Pb"], "fractional_positions": [[0.333, 0.667, 0.250], [0.667, 0.333, 0.750], [0.000, 0.000, 0.000], [0.000, 0.000, 0.500], [0.333, 0.667, 0.750], [0.667, 0.333, 0.250]]}